1.
3
Lattice="-0.378 -4.650 2.239 -3.838 -3.208 -1.328 1.029 -4.276 -2.727" Properties=species:S:1:pos:R:3 comment="PrNdNb, optimized geometry, DFT PBE" energy_ha_per_atom=-0.2109 sg="F-43m (216)" pbc="T T T"
Nd -0.797 -3.034 -0.454
Pr -2.390 -9.101 -1.362
Nb 0.000 0.000 0.000

2.
6
Lattice="1.815 -5.224 -0.059 -2.284 -3.683 -3.436 2.867 -1.883 -4.339" Properties=species:S:1:pos:R:3 comment="BiW2, optimized geometry, DFT PBE" e_above_lowest_polymorph_kj_per_mol_atoms=0.00 energy_ha_per_atom=-0.3351 sg="Fd-3m (227)" pbc="T T T"
W 0.591 -4.131 -4.867
W 0.065 -5.802 -2.727
W 1.499 -6.743 -4.896
W 2.641 -4.902 -3.178
Bi 0.599 -2.697 -1.958
Bi 0.000 0.000 0.000

3.
4
Lattice="2.165 -5.203 0.867 -1.930 -4.431 -3.025 3.316 -2.406 -3.966" Properties=species:S:1:pos:R:3 comment="Ba2HfSb, optimized geometry, DFT PBE" energy_ha_per_atom=-0.1546 sg="F-43m (216)" pbc="T T T"
Sb 2.663 -9.030 -4.593
Ba 0.888 -3.010 -1.531
Ba 0.000 0.000 0.000
Hf 1.775 -6.020 -3.062

4.
4
Lattice="-0.948 -1.756 3.757 -3.388 -2.547 0.363 0.534 -4.179 0.590" Properties=species:S:1:pos:R:3 comment="CuBWAu, optimized geometry, DFT PBE" e_above_lowest_polymorph_kj_per_mol_atoms=0.00 energy_ha_per_atom=-0.2104 sg="F-43m (216)" pbc="T T T"
Au -1.901 -4.241 2.355
B 0.000 0.000 0.000
Cu -2.852 -6.361 3.533
W -0.951 -2.120 1.178

5.
4
Lattice="-3.788 -1.220 -1.304 -3.245 0.059 2.647 -3.054 2.822 -0.494" Properties=species:S:1:pos:R:3 comment="NbNiBPd, optimized geometry, DFT PBE" e_above_lowest_polymorph_kj_per_mol_atoms=28.51 energy_ha_per_atom=-0.2409 sg="F-43m (216)" pbc="T T T"
Pd -2.522 0.415 0.212
B 0.000 0.000 0.000
Ni -7.565 1.246 0.637
Nb -5.043 0.830 0.425

6.
12
Lattice="6.545 0.000 0.000 -3.272 5.668 0.000 0.000 0.000 7.265" Properties=species:S:1:pos:R:3 comment="CsKPdO3, optimized geometry, DFT PBE" energy_ha_per_atom=-0.1656 sg="P321 (150)" pbc="T T T"
Cs 0.000 3.779 1.795
Cs 3.272 1.889 5.470
O 3.154 3.711 1.813
O -1.519 4.792 5.452
O 1.637 4.587 5.452
O 4.909 1.081 1.813
O 1.754 0.876 1.813
O -0.118 1.957 5.452
Pd 3.272 1.889 1.823
Pd 0.000 3.779 5.442
K 0.000 0.000 0.000
K 0.000 0.000 3.633

7.
20
Lattice="8.311 0.000 0.000 -2.234 8.006 0.000 -0.705 -0.936 13.155" Properties=species:S:1:pos:R:3 comment="TbI4, optimized geometry, DFT PBE" energy_ha_per_atom=-0.1193 sg="C2/c (15)" pbc="T T T"
I 1.076 -0.358 7.934
I 0.131 3.905 7.616
I -0.275 1.409 1.355
I 5.647 5.661 11.800
I 6.206 5.256 2.453
I 1.916 5.172 1.967
I 2.330 0.150 4.119
I 4.114 2.766 8.548
I 3.457 1.898 11.188
I 5.241 3.165 5.540
I -0.834 1.814 10.703
I 3.042 6.920 9.036
I 4.297 7.428 5.221
I 1.258 4.303 4.607
I 4.083 1.644 1.037
I 1.290 5.426 12.118
Tb -1.386 5.847 5.454
Tb 6.758 1.223 7.701
Tb -0.282 7.304 1.122
Tb 5.654 -0.234 12.034

8.
4
Lattice="0.000 3.010 3.010 3.010 0.000 3.010 3.010 3.010 0.000" Properties=species:S:1:pos:R:3 comment="BeReSiAs, optimized geometry, DFT PBE" e_above_lowest_polymorph_kj_per_mol_atoms=0.00 energy_ha_per_atom=-0.2251 sg="F-43m (216)" pbc="T T T"
Si 0.000 0.000 0.000
Re 1.505 1.505 1.505
Be 4.514 4.514 4.514
As 3.010 3.010 3.010

9.
9
Lattice="7.534 0.000 0.000 -3.767 6.525 0.000 0.000 0.000 3.572" Properties=species:S:1:pos:R:3 comment="Zr6CoAs2, optimized geometry, DFT PBE" energy_ha_per_atom=-0.3033 sg="P-62m (189)" pbc="T T T"
As 0.000 4.350 0.000
As 3.767 2.175 0.000
Zr 4.416 0.000 1.786
Zr 1.559 2.700 1.786
Zr -2.208 3.825 1.786
Zr 1.862 0.000 0.000
Zr 2.836 4.912 0.000
Zr -0.931 1.613 0.000
Co 0.000 0.000 1.786

10.
6
Lattice="5.278 0.000 0.000 -2.639 4.571 0.000 0.000 0.000 8.572" Properties=species:S:1:pos:R:3 comment="Ba2CdHgPb2, optimized geometry, DFT PBE" energy_ha_per_atom=-0.0943 sg="P3m1 (156)" pbc="T T T"
Pb 2.639 1.523 3.964
Pb 0.000 0.000 8.221
Ba 0.000 3.047 6.431
Ba 0.000 3.047 2.112
Hg 2.639 1.523 0.360
Cd 0.000 0.000 4.629

11.
12
Lattice="6.294 2.232 3.960 -7.719 -0.053 -0.832 -0.589 -9.060 6.044" Properties=species:S:1:pos:R:3 comment="ZrTe3PdPb, optimized geometry, DFT PBE" e_above_lowest_polymorph_kj_per_mol_atoms=0.00 energy_ha_per_atom=-0.1870 sg="Cmcm (63)" pbc="T T T"
Te 0.687 -7.350 8.081
Te 4.774 -4.739 8.124
Te -2.957 -3.462 3.713
Te 0.943 -3.418 5.459
Te -6.788 -2.142 1.047
Te -2.701 0.469 1.090
Zr 0.000 0.000 0.000
Zr -0.295 -4.530 3.022
Pd -1.528 -1.284 2.846
Pd -0.486 -5.596 6.325
Pb -5.370 -6.393 4.655
Pb 3.355 -0.488 4.516

12.
4
Lattice="0.000 3.327 3.327 3.327 0.000 3.327 3.327 3.327 0.000" Properties=species:S:1:pos:R:3 comment="GaCoHg2, optimized geometry, DFT PBE" energy_ha_per_atom=-0.0801 sg="F-43m (216)" pbc="T T T"
Co 1.663 1.663 1.663
Ga 3.327 3.327 3.327
Hg 4.990 4.990 4.990
Hg 0.000 0.000 0.000

13.
9
Lattice="8.424 0.000 0.000 0.000 3.434 0.000 0.000 0.000 3.434" Properties=species:S:1:pos:R:3 comment="Zn2Ir2O5, optimized geometry, DFT PBE" e_above_lowest_polymorph_kj_per_mol_atoms=0.92 energy_ha_per_atom=-0.1948 sg="P4/mmm (123)" pbc="T T T"
Ir 0.000 0.000 0.000
Ir 4.212 0.000 0.000
O 1.164 0.000 1.717
O 7.260 1.717 0.000
O 7.260 0.000 1.717
O 4.212 1.717 1.717
O 1.164 1.717 0.000
Zn 2.225 1.717 1.717
Zn 6.199 1.717 1.717

14.
15
Lattice="5.232 0.000 0.000 -1.275 7.536 0.000 -0.154 -2.614 7.804" Properties=species:S:1:pos:R:3 comment="CuAs4, optimized geometry, DFT PBE" energy_ha_per_atom=-0.1626 sg="P-1 (2)" pbc="T T T"
Cu -0.630 3.833 2.518
Cu 0.000 0.000 0.000
Cu 4.433 1.089 5.286
As 3.862 1.845 1.001
As 0.546 -0.793 6.169
As 1.865 0.596 1.807
As 2.980 2.878 4.282
As 1.938 4.326 5.997
As 2.542 0.484 7.000
As -0.058 3.076 6.803
As 3.389 -0.504 3.465
As 0.414 5.426 4.339
As 3.257 5.715 1.635
As 0.823 2.044 3.522
As 1.261 4.438 0.804

15.
8
Lattice="3.505 0.000 0.000 -1.753 3.036 0.000 0.000 0.000 15.336" Properties=species:S:1:pos:R:3 comment="Lu4GaSnC2, optimized geometry, DFT PBE" energy_ha_per_atom=-0.2197 sg="P-6m2 (187)" pbc="T T T"
Sn 1.753 1.012 7.668
Lu 1.753 1.012 12.887
Lu 0.000 0.000 5.057
Lu 1.753 1.012 2.449
Lu 0.000 0.000 10.279
C 0.000 2.024 3.797
C 0.000 2.024 11.539
Ga 0.000 0.000 0.000

16.
14
Lattice="-6.024 -3.949 1.878 3.130 -1.557 6.766 -1.267 9.427 2.756" Properties=species:S:1:pos:R:3 comment="Rb2ZnBr4, optimized geometry, DFT PBE" e_above_lowest_polymorph_kj_per_mol_atoms=0.06 energy_ha_per_atom=-0.1043 sg="P2_1/m (11)" pbc="T T T"
Br -1.856 -0.213 5.106
Br -1.225 8.089 4.571
Br -0.298 -0.988 8.472
Br -2.937 -4.168 6.828
Br -0.164 2.618 2.821
Br -3.998 1.303 8.578
Br -2.307 4.135 6.294
Br -3.864 4.909 2.927
Rb 0.569 1.947 6.614
Rb -0.659 6.712 8.278
Rb -4.731 1.974 4.786
Rb -3.503 -2.791 3.121
Zn -2.897 3.464 8.566
Zn -1.265 0.457 2.833

17.
6
Lattice="0.000 3.702 3.702 3.702 0.000 3.702 3.702 3.702 0.000" Properties=species:S:1:pos:R:3 comment="ScTc2, optimized geometry, DFT PBE" e_above_lowest_polymorph_kj_per_mol_atoms=3.49 energy_ha_per_atom=-0.3411 sg="Fd-3m (227)" pbc="T T T"
Tc 2.776 4.627 2.776
Tc 4.627 4.627 4.627
Tc 2.776 2.776 4.627
Tc 4.627 2.776 2.776
Sc 0.000 0.000 0.000
Sc 1.851 1.851 1.851

18.
8
Lattice="4.297 0.000 0.000 0.000 4.297 0.000 0.000 0.000 6.117" Properties=species:S:1:pos:R:3 comment="BeZnIn2Cu4, optimized geometry, DFT PBE" energy_ha_per_atom=-0.1124 sg="P4/mmm (123)" pbc="T T T"
Cu 2.148 0.000 1.602
Cu 0.000 2.148 1.602
Cu 0.000 2.148 4.515
Cu 2.148 0.000 4.515
In 2.148 2.148 3.058
In 0.000 0.000 0.000
Zn 2.148 2.148 0.000
Be 0.000 0.000 3.058

19.
4
Lattice="0.000 3.041 3.041 3.041 0.000 3.041 3.041 3.041 0.000" Properties=species:S:1:pos:R:3 comment="NbNi2Pt, optimized geometry, DFT PBE" energy_ha_per_atom=-0.2594 sg="F-43m (216)" pbc="T T T"
Ni 0.000 0.000 0.000
Ni 1.521 1.521 1.521
Nb 4.562 4.562 4.562
Pt 3.041 3.041 3.041

20.
4
Lattice="3.010 -3.580 1.413 3.283 0.818 3.525 -0.560 -2.073 4.389" Properties=species:S:1:pos:R:3 comment="Li2YAg, optimized geometry, DFT PBE" energy_ha_per_atom=-0.1226 sg="F-43m (216)" pbc="T T T"
Ag 1.433 -1.209 2.332
Y 0.000 0.000 0.000
Li 2.867 -2.417 4.663
Li 4.300 -3.626 6.995